(1)
Here is a geometry-optimized CaScNi structure from the Alexandria database. Energies are from PBE.

The structure in CIF format:
```
data_CaScNi
_chemical_formula_sum 'Ca4 Sc4 Ni4'
_symmetry_space_group_name_H-M 'P 1'
_symmetry_Int_Tables_number 1
_symmetry_space_group_name_Hall 'P 1'
_cell_length_a 5.511
_cell_length_b 3.882
_cell_length_c 13.792
_cell_angle_alpha 90.00
_cell_angle_beta 100.72
_cell_angle_gamma 90.00
loop_
_atom_site_label
_atom_site_fract_x
_atom_site_fract_y
_atom_site_fract_z
Sc1 0.756 0.000 0.456
Sc2 0.756 0.500 0.956
Sc3 0.288 0.000 0.021
Sc4 0.288 0.500 0.521
Ni1 0.824 0.000 0.076
Ni2 0.824 0.500 0.576
Ni3 0.104 0.000 0.612
Ni4 0.104 0.500 0.112
Ca1 0.637 0.000 0.702
Ca2 0.637 0.500 0.202
Ca3 0.172 0.000 0.284
Ca4 0.172 0.500 0.784
```

## Properties
DOS at the Fermi energy ... 11.50 states/eV per cell
Formation energy from the elements ... -0.16 eV per atom
E ... -58.375 eV/cell
Distance to the lowest polymorph of the same formula ... 54.3 meV per atom
SG ... No. 8

(2)
Here is a geometry-optimized CaSc2Ni2 structure from the Alexandria database. Energies are from PBE.

The structure in CIF format:
```
data_CaSc2Ni2
_chemical_formula_sum 'Ca1 Sc2 Ni2'
_symmetry_space_group_name_H-M 'P 1'
_symmetry_Int_Tables_number 1
_symmetry_space_group_name_Hall 'P 1'
_cell_length_a 4.343
_cell_length_b 4.343
_cell_length_c 6.260
_cell_angle_alpha 69.70
_cell_angle_beta 69.70
_cell_angle_gamma 90.00
loop_
_atom_site_label
_atom_site_fract_x
_atom_site_fract_y
_atom_site_fract_z
Sc1 0.750 0.250 0.500
Sc2 0.250 0.750 0.500
Ni1 0.391 0.391 0.218
Ni2 0.609 0.609 0.782
Ca1 0.000 0.000 0.000
```

## Properties
DOS at the Fermi energy ... 6.09 states/eV per cell
Formation energy from the elements ... -0.26 eV per atom
E ... -27.524 eV/cell
Distance to the lowest polymorph of the same formula ... 0.0 meV per atom
SG ... No. 139